Sr2NbTlSb, single point on PBEsol structure, DFT SCAN; DFT total energy = -37.11 eV/atom; total magnetization = 0.00 μB per formula unit; SG = P4/mmm (123)
1.0
5.765 0.000 0.000
0.000 5.765 0.000
0.000 0.000 5.302
Sr Nb Tl Sb
2 1 1 1
direct
0.000 0.500 0.000
0.500 0.000 0.000
0.000 0.000 0.000
0.500 0.500 0.500
0.000 0.000 0.500

ZnCd2Co, single point on PBEsol structure, DFT SCAN; E_form = 0.1946 eV per atom; total magnetization = 1.37 μB per formula unit; SG = Cm (8)
1.0
10.172 0.000 0.000
0.000 3.008 0.000
-1.813 0.000 4.097
Zn Cd Co
2 4 2
direct
0.000 0.000 0.000
0.500 0.500 0.000
0.223 0.000 0.744
0.439 0.000 0.440
0.723 0.500 0.744
0.939 0.500 0.440
0.200 0.500 0.227
0.700 0.000 0.227

Co2RePt, single point on PBEsol structure, DFT SCAN; E_form = -0.0038 eV per atom; total magnetization = 3.67 μB per formula unit; relative energy among the computed polymorphs = 0 meV per atom; SG = P4mm (99)
1.0
2.651 0.000 0.000
0.000 2.651 0.000
0.000 0.000 7.160
Co Re Pt
2 1 1
direct
0.000 0.000 0.000
0.500 0.500 0.218
0.500 0.500 0.759
0.000 0.000 0.479

GeMoSe2I, single point on PBEsol structure, DFT SCAN; DFT total energy = -24.62 eV/atom; total magnetization = 3.80 μB per formula unit; SG = P4/mmm (123)
1.0
5.301 0.000 0.000
0.000 5.301 0.000
0.000 0.000 5.301
Ge Mo Se I
1 1 2 1
direct
0.000 0.000 0.000
0.500 0.500 0.000
0.000 0.500 0.500
0.500 0.000 0.500
0.000 0.000 0.500

FeTc2Hg, single point on PBEsol structure, DFT SCAN; E_form = 0.4201 eV per atom; total magnetization = 1.92 μB per formula unit; SG = R-3m (166)
1.0
2.732 0.000 0.000
-1.366 2.366 0.000
0.000 0.000 26.951
Fe Tc Hg
3 6 3
direct
0.000 0.000 0.000
0.333 0.667 0.667
0.667 0.333 0.333
0.000 0.000 0.260
0.000 0.000 0.740
0.333 0.667 0.407
0.333 0.667 0.927
0.667 0.333 0.073
0.667 0.333 0.593
0.000 0.000 0.500
0.333 0.667 0.167
0.667 0.333 0.833

InSbTe4, single point on PBEsol structure, DFT SCAN; DFT total energy = -36.16 eV/atom; total magnetization = 0.00 μB per formula unit; SG = F-43m (216)
1.0
0.000 4.449 4.449
4.449 0.000 4.449
4.449 4.449 0.000
In Sb Te
1 1 4
direct
0.000 0.000 0.000
0.250 0.250 0.250
0.127 0.624 0.624
0.624 0.127 0.624
0.624 0.624 0.127
0.624 0.624 0.624

SrCr2AgIr, single point on PBEsol structure, DFT SCAN; E_form = 0.5516 eV per atom; total magnetization = 7.37 μB per formula unit; SG = P4/mmm (123)
1.0
4.689 0.000 0.000
0.000 4.689 0.000
0.000 0.000 5.665
Sr Cr Ag Ir
1 2 1 1
direct
0.000 0.000 0.000
0.000 0.500 0.500
0.500 0.000 0.500
0.500 0.500 0.000
0.000 0.000 0.500

Mo5W, single point on PBEsol structure, DFT SCAN; E_form = -0.0031 eV per atom; total magnetization = 0.00 μB per formula unit; SG = Cmmm (65)
1.0
3.132 0.000 0.000
0.000 13.295 0.000
0.000 0.000 4.422
Mo W
10 2
direct
0.000 0.000 0.000
0.000 0.167 0.500
0.000 0.333 0.000
0.000 0.667 0.000
0.000 0.833 0.500
0.500 0.167 0.000
0.500 0.333 0.500
0.500 0.500 0.000
0.500 0.667 0.500
0.500 0.833 0.000
0.000 0.500 0.500
0.500 0.000 0.500

MnCrTeN2, single point on PBEsol structure, DFT SCAN; DFT total energy = -17.96 eV/atom; total magnetization = 3.95 μB per formula unit; SG = P4/mmm (123)
1.0
3.654 0.000 0.000
0.000 3.654 0.000
0.000 0.000 5.409
Mn Cr Te N
1 1 1 2
direct
0.000 0.000 0.000
0.500 0.500 0.500
0.000 0.000 0.500
0.000 0.500 0.000
0.500 0.000 0.000

KMnCuW2, single point on PBEsol structure, DFT SCAN; E_form = 2.1396 eV per atom; total magnetization = 3.82 μB per formula unit; SG = P4/mmm (123)
1.0
4.562 0.000 0.000
0.000 4.562 0.000
0.000 0.000 5.199
K Mn Cu W
1 1 1 2
direct
0.000 0.000 0.000
0.500 0.500 0.000
0.000 0.000 0.500
0.000 0.500 0.500
0.500 0.000 0.500

BaSrCd2, single point on PBEsol structure, DFT SCAN; E_form = -0.2987 eV per atom; total magnetization = 0.00 μB per formula unit; SG = Imm2 (44)
1.0
3.940 0.000 0.000
0.000 5.763 0.000
0.000 0.000 11.673
Ba Sr Cd
2 2 4
direct
0.000 0.000 0.000
0.500 0.500 0.500
0.000 0.500 0.803
0.500 0.000 0.303
0.000 0.000 0.559
0.000 0.500 0.242
0.500 0.000 0.742
0.500 0.500 0.059

ZnCu4W5O20, single point on PBEsol structure, DFT SCAN; DFT total energy = -20.07 eV/atom; total magnetization = 4.01 μB per formula unit; SG = P1 (1)
1.0
4.657 0.000 0.000
-0.370 7.453 0.000
-1.732 -0.470 18.938
Zn Cu W O
2 8 10 40
direct
0.000 0.000 0.000
0.011 0.595 0.201
0.008 0.590 0.369
0.979 0.409 0.808
0.984 0.399 0.973
0.988 0.805 0.607
0.990 0.794 0.771
0.998 0.191 0.571
0.998 0.203 0.407
0.998 0.996 0.171
0.472 0.109 0.873
0.476 0.503 0.673
0.481 0.708 0.075
0.487 0.901 0.472
0.489 0.696 0.907
0.491 0.301 0.274
0.498 0.096 0.706
0.504 0.293 0.106
0.510 0.494 0.505
0.518 0.891 0.304
0.213 0.637 0.833
0.223 0.032 0.631
0.223 0.243 0.032
0.228 0.287 0.874
0.233 0.431 0.432
0.234 0.683 0.674
0.237 0.837 0.232
0.241 0.887 0.078
0.246 0.081 0.474
0.254 0.481 0.278
0.259 0.939 0.922
0.261 0.604 0.982
0.266 0.002 0.780
0.268 0.332 0.719
0.271 0.536 0.123
0.275 0.399 0.580
0.277 0.199 0.181
0.279 0.730 0.519
0.286 0.128 0.320
0.287 0.796 0.379
0.694 0.871 0.862
0.699 0.798 0.999
0.702 0.201 0.799
0.706 0.471 0.061
0.708 0.267 0.660
0.711 0.598 0.599
0.713 0.393 0.198
0.719 0.664 0.459
0.722 0.994 0.398
0.725 0.065 0.259
0.734 0.520 0.905
0.741 0.916 0.705
0.747 0.177 0.946
0.749 0.116 0.100
0.750 0.313 0.504
0.752 0.567 0.747
0.761 0.711 0.301
0.761 0.774 0.147
0.763 0.964 0.546
0.772 0.363 0.348

BaPtBr2, single point on PBEsol structure, DFT SCAN; total magnetization = 0.00 μB per formula unit; relative energy among the computed polymorphs = 75 meV per atom; SG = P4/mmm (123)
1.0
4.931 0.000 0.000
0.000 4.931 0.000
0.000 0.000 4.101
Ba Pt Br
1 1 2
direct
0.000 0.000 0.000
0.500 0.500 0.000
0.000 0.500 0.500
0.500 0.000 0.500

CdP2C, single point on PBEsol structure, DFT SCAN; E_form = 1.8849 eV per atom; total magnetization = 0.00 μB per formula unit; SG = Fm-3m (225)
1.0
6.181 0.000 0.000
0.000 6.181 0.000
0.000 0.000 6.181
Cd P C
4 8 4
direct
0.000 0.000 0.000
0.000 0.500 0.500
0.500 0.000 0.500
0.500 0.500 0.000
0.250 0.250 0.250
0.250 0.250 0.750
0.250 0.750 0.250
0.250 0.750 0.750
0.750 0.250 0.250
0.750 0.250 0.750
0.750 0.750 0.250
0.750 0.750 0.750
0.000 0.000 0.500
0.000 0.500 0.000
0.500 0.000 0.000
0.500 0.500 0.500

CoCuNi2, single point on PBEsol structure, DFT SCAN; E_form = 0.0773 eV per atom; total magnetization = 3.20 μB per formula unit; SG = I4/mmm (139)
1.0
3.488 0.000 0.000
0.000 3.488 0.000
0.000 0.000 6.943
Co Cu Ni
2 2 4
direct
0.000 0.000 0.000
0.500 0.500 0.500
0.000 0.000 0.500
0.500 0.500 0.000
0.000 0.500 0.250
0.000 0.500 0.750
0.500 0.000 0.250
0.500 0.000 0.750

CaP2Cl, single point on PBEsol structure, DFT SCAN; total magnetization = 0.00 μB per formula unit; relative energy among the computed polymorphs = 471 meV per atom; SG = F-43m (216)
1.0
6.768 0.000 0.000
0.000 6.768 0.000
0.000 0.000 6.768
Ca P Cl
4 8 4
direct
0.000 0.000 0.000
0.000 0.500 0.500
0.500 0.000 0.500
0.500 0.500 0.000
0.000 0.000 0.500
0.000 0.500 0.000
0.250 0.250 0.250
0.250 0.750 0.750
0.500 0.000 0.000
0.500 0.500 0.500
0.750 0.250 0.750
0.750 0.750 0.250
0.250 0.250 0.750
0.250 0.750 0.250
0.750 0.250 0.250
0.750 0.750 0.750

Mg2RuN3, single point on PBEsol structure, DFT SCAN; DFT total energy = -12.54 eV/atom; total magnetization = 0.00 μB per formula unit; SG = Cmc2_1 (36)
1.0
5.072 -2.931 0.000
5.072 2.931 0.000
0.000 0.000 5.060
Mg Ru N
4 2 6
direct
0.010 0.663 0.500
0.337 0.990 0.500
0.663 0.010 0.000
0.990 0.337 0.000
0.316 0.684 0.012
0.684 0.316 0.512
0.019 0.670 0.919
0.330 0.981 0.919
0.376 0.624 0.384
0.624 0.376 0.884
0.670 0.019 0.419
0.981 0.330 0.419

CoRe2Mo, single point on PBEsol structure, DFT SCAN; E_form = 0.0993 eV per atom; total magnetization = 0.97 μB per formula unit; relative energy among the computed polymorphs = 0 meV per atom; SG = P4/mmm (123)
1.0
3.788 0.000 0.000
0.000 3.788 0.000
0.000 0.000 3.793
Co Re Mo
1 2 1
direct
0.000 0.000 0.000
0.000 0.500 0.500
0.500 0.000 0.500
0.500 0.500 0.000

ZnAsAu, single point on PBEsol structure, DFT SCAN; E_form = 0.1049 eV per atom; total magnetization = 0.00 μB per formula unit; SG = I4mm (107)
1.0
2.896 0.000 0.000
0.000 2.896 0.000
0.000 0.000 11.989
Zn As Au
2 2 2
direct
0.000 0.000 0.000
0.500 0.500 0.500
0.000 0.000 0.664
0.500 0.500 0.164
0.000 0.000 0.352
0.500 0.500 0.852

La2H2Ir, single point on PBEsol structure, DFT SCAN; total magnetization = 0.00 μB per formula unit; relative energy among the computed polymorphs = 290 meV per atom; SG = P4/mbm (127)
1.0
7.027 0.000 0.000
0.000 7.027 0.000
0.000 0.000 3.207
La H Ir
4 4 2
direct
0.181 0.319 0.000
0.319 0.819 0.000
0.681 0.181 0.000
0.819 0.681 0.000
0.112 0.612 0.500
0.388 0.112 0.500
0.612 0.888 0.500
0.888 0.388 0.500
0.000 0.000 0.500
0.500 0.500 0.500